Entry 1:
DFT (PBE) results for LiInGe2S6 after structural relaxation.

a = 6.6640 Å, b = 8.6872 Å, c = 8.6872 Å
α = 86.08°, β = 74.80°, γ = 74.80°
Positions (direct):
Li: 0.2500 0.8829 0.1171
Li: 0.7500 0.1171 0.8829
In: 0.2500 0.2175 0.7825
In: 0.7500 0.7825 0.2175
Ge: 0.2713 0.7805 0.6219
Ge: 0.2287 0.3781 0.2195
Ge: 0.7287 0.2195 0.3781
Ge: 0.7713 0.6219 0.7805
S: 0.1317 0.9557 0.8210
S: 0.3683 0.1790 0.0443
S: 0.8683 0.0443 0.1790
S: 0.6317 0.8210 0.9557
S: 0.3805 0.8894 0.3832
S: 0.1195 0.6168 0.1106
S: 0.6195 0.1106 0.6168
S: 0.8805 0.3832 0.8894
S: 0.0110 0.6839 0.5656
S: 0.4890 0.4344 0.3161
S: 0.9890 0.3161 0.4344
S: 0.5110 0.5656 0.6839

crystal system = monoclinic
DOS(E_F) = 0.00 states/eV per cell
formation energy (no corrections) = -0.48 eV/atom



Entry 2:
DFT (PBE) results for Li2InGeS4 after structural relaxation.

a = 6.2628 Å, b = 6.7560 Å, c = 8.5622 Å
α = 90.00°, β = 90.00°, γ = 90.00°
Positions (direct):
Li: 0.4918 0.3237 0.2508
Li: 0.4918 0.3237 0.7492
Li: 0.9918 0.6763 0.7508
Li: 0.9918 0.6763 0.2492
In: 0.9885 0.1730 0.5000
In: 0.4885 0.8270 0.0000
Ge: 0.4936 0.8238 0.5000
Ge: 0.9936 0.1762 0.0000
S: 0.3642 0.1843 0.0000
S: 0.8642 0.8157 0.5000
S: 0.3981 0.1550 0.5000
S: 0.8981 0.8450 0.0000
S: 0.3860 0.6788 0.7380
S: 0.8860 0.3212 0.2380
S: 0.8860 0.3212 0.7620
S: 0.3860 0.6788 0.2620

crystal system = orthorhombic
DOS(E_F) = 4.44 states/eV per cell
formation energy (no corrections) = -0.76 eV/atom



Entry 3:
DFT (PBE) results for LiScInGe after structural relaxation.

a = 4.8179 Å, b = 4.8179 Å, c = 4.8179 Å
α = 60.00°, β = 60.00°, γ = 60.00°
Positions (direct):
Sc: 0.7500 0.7500 0.7500
Ge: 0.0000 0.0000 0.0000
Li: 0.2500 0.2500 0.2500
In: 0.5000 0.5000 0.5000

crystal system = cubic
DOS(E_F) = 2.82 states/eV per cell
calculated formation energy = -31.5 kJ/mol of atoms



Entry 4:
DFT (PBE) results for LiInGe2Se6 after structural relaxation.

a = 7.0386 Å, b = 9.3476 Å, c = 9.3476 Å
α = 84.86°, β = 72.35°, γ = 72.35°
Positions (direct):
Li: 0.2500 0.8187 0.1813
Li: 0.7500 0.1813 0.8187
In: 0.2500 0.1982 0.8018
In: 0.7500 0.8018 0.1982
Ge: 0.2699 0.7858 0.6268
Ge: 0.2301 0.3732 0.2142
Ge: 0.7301 0.2142 0.3732
Ge: 0.7699 0.6268 0.7858
Se: 0.0942 0.9639 0.8274
Se: 0.4058 0.1726 0.0361
Se: 0.9058 0.0361 0.1726
Se: 0.5942 0.8274 0.9639
Se: 0.3763 0.9031 0.3874
Se: 0.1237 0.6126 0.0969
Se: 0.6237 0.0969 0.6126
Se: 0.8763 0.3874 0.9031
Se: 0.0210 0.6854 0.5682
Se: 0.4790 0.4318 0.3146
Se: 0.9790 0.3146 0.4318
Se: 0.5210 0.5682 0.6854

crystal system = monoclinic
formation energy (no corrections) = -0.42 eV/atom



Entry 5:
DFT (PBE) results for LiInGeSe4 after structural relaxation.

a = 7.1339 Å, b = 7.1339 Å, c = 7.9025 Å
α = 90.00°, β = 90.00°, γ = 115.00°
Positions (direct):
Li: 0.5000 0.5000 0.5000
Li: 0.5000 0.5000 0.0000
In: 0.8582 0.1418 0.2500
In: 0.1418 0.8582 0.7500
Ge: 0.1433 0.8567 0.2500
Ge: 0.8567 0.1433 0.7500
Se: 0.2288 0.2578 0.7500
Se: 0.7422 0.7712 0.7500
Se: 0.7303 0.2697 0.9817
Se: 0.7303 0.2697 0.5183
Se: 0.2697 0.7303 0.0183
Se: 0.2697 0.7303 0.4817
Se: 0.7712 0.7422 0.2500
Se: 0.2578 0.2288 0.2500

crystal system = orthorhombic
DOS(E_F) = 0.53 states/eV per cell
formation energy (no corrections) = -0.54 eV/atom



Entry 6:
DFT (PBE) results for LiSmInGe after structural relaxation.

a = 5.0607 Å, b = 5.0607 Å, c = 5.0607 Å
α = 60.00°, β = 60.00°, γ = 60.00°
Positions (direct):
Ge: 0.2500 0.2500 0.2500
Li: 0.5000 0.5000 0.5000
Sm: 0.0000 0.0000 0.0000
In: 0.7500 0.7500 0.7500

crystal system = cubic
DOS(E_F) = 1.75 states/eV per cell
calculated formation energy = -35.1 kJ/mol of atoms



Entry 7:
DFT (PBE) results for SrLiInGe after structural relaxation.

a = 5.2084 Å, b = 5.2084 Å, c = 5.2084 Å
α = 60.00°, β = 60.00°, γ = 60.00°
Positions (direct):
Sr: 0.0000 0.0000 0.0000
Ge: 0.2500 0.2500 0.2500
Li: 0.7500 0.7500 0.7500
In: 0.5000 0.5000 0.5000

crystal system = cubic
DOS(E_F) = 1.59 states/eV per cell
calculated formation energy = -21.8 kJ/mol of atoms



Entry 8:
DFT (PBE) results for SrLiInGe2 after structural relaxation.

a = 4.4718 Å, b = 4.4718 Å, c = 6.6884 Å
α = 109.53°, β = 109.53°, γ = 90.00°
Positions (direct):
Sr: 0.0000 0.0000 0.0000
Li: 0.2500 0.7500 0.5000
In: 0.7500 0.2500 0.5000
Ge: 0.6081 0.6081 0.2163
Ge: 0.3919 0.3919 0.7837

crystal system = tetragonal
DOS(E_F) = 1.88 states/eV per cell
calculated formation energy = -41.0 kJ/mol of atoms



Entry 9:
DFT (PBE) results for LiIn2TcGe after structural relaxation.

a = 4.8432 Å, b = 4.4472 Å, c = 4.8432 Å
α = 90.00°, β = 90.00°, γ = 90.00°
Positions (direct):
Ge: 0.0000 0.5000 0.0000
Li: 0.0000 0.0000 0.0000
Tc: 0.5000 0.5000 0.5000
In: 0.0000 0.0000 0.5000
In: 0.5000 0.0000 0.0000

crystal system = tetragonal
DOS(E_F) = 3.55 states/eV per cell
calculated formation energy = 81.9 kJ/mol of atoms



Entry 10:
DFT (PBE) results for LiTmInGe after structural relaxation.

a = 4.9603 Å, b = 4.9603 Å, c = 4.9603 Å
α = 60.00°, β = 60.00°, γ = 60.00°
Positions (direct):
Ge: 0.0000 0.0000 0.0000
Tm: 0.2500 0.2500 0.2500
Li: 0.7500 0.7500 0.7500
In: 0.5000 0.5000 0.5000

crystal system = cubic
DOS(E_F) = 2.21 states/eV per cell
calculated formation energy = -32.9 kJ/mol of atoms



Entry 11:
DFT (PBE) results for LiYInGe after structural relaxation.

a = 5.0055 Å, b = 5.0055 Å, c = 5.0055 Å
α = 60.00°, β = 60.00°, γ = 60.00°
Positions (direct):
Y: 0.2500 0.2500 0.2500
Ge: 0.0000 0.0000 0.0000
Li: 0.7500 0.7500 0.7500
In: 0.5000 0.5000 0.5000

crystal system = cubic
DOS(E_F) = 2.07 states/eV per cell
calculated formation energy = -34.8 kJ/mol of atoms



Entry 12:
DFT (PBE) results for Lu2InGe after structural relaxation.

a = 4.1045 Å, b = 4.7648 Å, c = 4.7648 Å
α = 90.00°, β = 90.00°, γ = 90.00°
Positions (direct):
Ge: 0.5000 0.5000 0.5000
Lu: 0.0000 0.0000 0.5000
Lu: 0.0000 0.5000 0.0000
In: 0.5000 0.0000 0.0000

crystal system = tetragonal
DOS(E_F) = 2.09 states/eV per cell
calculated formation energy = -44.2 kJ/mol of atoms